(1)
La2ThSe5 GGA-PBE relaxed; total DFT energy (no corrections) = -0.232 hartree per atom; magnetization = 0.00 Bohr magnetons per cell; volume = 27.57 A^3/atom
1.0
12.689 0.000 0.000
0.000 8.696 0.000
0.000 0.000 7.995
La Th Se
8 4 20
Cartesian
2.258 8.695 0.174
2.258 4.350 0.174
4.086 0.002 4.172
4.086 4.347 4.172
8.603 8.695 3.823
8.603 4.350 3.823
10.431 0.002 7.821
10.431 4.347 7.821
0.113 2.174 4.604
6.231 6.522 0.607
6.458 2.174 7.388
12.576 6.522 3.391
0.023 2.174 7.655
1.240 4.726 5.308
1.240 8.318 5.308
2.365 2.174 2.643
2.740 6.522 2.418
3.605 2.174 6.416
3.980 6.522 6.641
5.104 0.378 1.310
5.104 3.970 1.310
6.321 6.522 3.658
6.368 2.174 4.337
7.585 4.726 6.685
7.585 8.318 6.685
8.710 2.174 1.355
9.085 6.522 1.579
9.949 2.174 5.577
10.324 6.522 5.352
11.449 0.378 2.687
11.449 3.970 2.687
12.666 6.522 0.340

(2)
La5ThSe7 GGA-PBE relaxed; total DFT energy (no corrections) = -0.230 hartree per atom; magnetization = 0.00 Bohr magnetons per cell; volume = 28.93 A^3/atom
1.0
7.161 -2.102 0.000
7.161 2.102 0.000
-1.015 0.000 24.979
La Th Se
10 2 14
Cartesian
0.000 0.000 0.000
-0.484 0.000 12.491
2.952 0.000 23.203
3.486 0.000 14.291
6.033 0.000 8.761
6.411 0.000 3.688
6.907 0.000 21.293
7.313 0.000 16.227
9.865 0.000 10.696
10.359 0.000 1.777
2.783 0.000 5.900
10.548 0.000 19.096
0.804 0.000 9.677
1.340 0.000 2.979
1.723 0.000 20.441
2.200 0.000 17.107
4.735 0.000 11.500
5.206 0.000 0.950
5.458 0.000 18.680
7.872 0.000 6.299
8.104 0.000 24.032
8.616 0.000 13.489
11.143 0.000 7.878
11.593 0.000 4.538
11.975 0.000 22.004
12.548 0.000 15.303

(3)
LaThTl2Se4 GGA-PBE relaxed; total DFT energy (no corrections) = -0.190 hartree per atom; magnetization = 0.00 Bohr magnetons per cell; volume = 31.79 A^3/atom
1.0
7.503 0.000 0.000
0.000 4.315 0.000
-2.444 0.000 7.854
La Th Tl Se
1 1 2 4
Cartesian
0.000 0.000 0.000
3.752 2.158 0.000
-1.222 2.158 3.927
2.530 0.000 3.927
1.338 2.158 1.691
0.123 0.000 6.190
4.936 0.000 1.663
3.721 2.158 6.163

(4)
La2TmTh3Se6 GGA-PBE relaxed; total DFT energy (no corrections) = -0.238 hartree per atom; magnetization = 0.00 Bohr magnetons per cell; volume = 26.39 A^3/atom
1.0
9.246 -2.094 0.000
9.246 2.094 0.000
-2.205 0.000 8.178
La Tm Th Se
2 1 3 6
Cartesian
2.320 0.000 2.723
13.967 0.000 5.455
9.246 0.000 0.000
1.311 0.000 6.832
8.143 0.000 4.089
14.976 0.000 1.347
-1.617 0.000 6.258
5.247 0.000 3.387
4.258 0.000 7.548
12.029 0.000 0.631
11.040 0.000 4.791
17.904 0.000 1.920

(5)
La4Tm3ThSe8 GGA-PBE relaxed; total DFT energy (no corrections) = -0.224 hartree per atom; magnetization = 0.00 Bohr magnetons per cell; volume = 26.04 A^3/atom
1.0
4.168 2.406 6.923
-4.168 2.406 6.923
0.000 -4.812 6.923
La Tm Th Se
4 3 1 8
Cartesian
0.000 0.000 0.000
-2.084 -1.203 6.923
-2.084 1.203 13.846
0.000 2.406 6.923
-4.168 0.000 10.384
-2.084 1.203 3.461
2.084 1.203 3.462
0.000 0.000 10.385
-2.141 -1.236 11.983
0.000 0.000 5.019
0.000 -2.472 8.786
-2.141 1.236 8.786
2.141 -1.236 11.984
0.000 2.472 11.984
0.000 0.000 15.750
2.141 1.236 8.785

(6)
La2TmThSe4 GGA-PBE relaxed; total DFT energy (no corrections) = -0.230 hartree per atom; magnetization = 0.00 Bohr magnetons per cell; volume = 26.46 A^3/atom
1.0
7.288 0.000 0.000
0.000 4.171 0.000
-2.394 0.000 6.964
La Tm Th Se
2 1 1 4
Cartesian
0.000 0.000 0.000
-1.197 2.085 3.482
2.447 0.000 3.482
3.644 2.085 0.000
0.129 0.000 5.180
1.326 2.085 1.850
3.568 2.085 5.114
4.764 0.000 1.784

Which formula does entry 4 have?
La2TmTh3Se6

Repeat the fourth record exactly.
La2TmTh3Se6 GGA-PBE relaxed; total DFT energy (no corrections) = -0.238 hartree per atom; magnetization = 0.00 Bohr magnetons per cell; volume = 26.39 A^3/atom
1.0
9.246 -2.094 0.000
9.246 2.094 0.000
-2.205 0.000 8.178
La Tm Th Se
2 1 3 6
Cartesian
2.320 0.000 2.723
13.967 0.000 5.455
9.246 0.000 0.000
1.311 0.000 6.832
8.143 0.000 4.089
14.976 0.000 1.347
-1.617 0.000 6.258
5.247 0.000 3.387
4.258 0.000 7.548
12.029 0.000 0.631
11.040 0.000 4.791
17.904 0.000 1.920

Repeat the sixth record exactly.
La2TmThSe4 GGA-PBE relaxed; total DFT energy (no corrections) = -0.230 hartree per atom; magnetization = 0.00 Bohr magnetons per cell; volume = 26.46 A^3/atom
1.0
7.288 0.000 0.000
0.000 4.171 0.000
-2.394 0.000 6.964
La Tm Th Se
2 1 1 4
Cartesian
0.000 0.000 0.000
-1.197 2.085 3.482
2.447 0.000 3.482
3.644 2.085 0.000
0.129 0.000 5.180
1.326 2.085 1.850
3.568 2.085 5.114
4.764 0.000 1.784

Which value of total DFT energy (no corrections) does entry 4 give?
-0.238 hartree per atom